## Pm2NdPb9 (PBE-GGA)

Data for an optimized crystal structure of Pm2NdPb9.

Unit cell a=4.9216 b=4.9216 c=14.7706 alpha=90.00 beta=90.00 gamma=90.00
Space group P4/mmm (No. 123)
Asymmetric unit:
Pm1 0.0000 0.0000 0.1661 x2
Nd1 0.0000 0.0000 0.5000 x1
Pb1 0.0000 0.5000 0.0000 x2
Pb2 0.0000 0.5000 0.3325 x4
Pb3 0.5000 0.5000 0.1663 x2
Pb4 0.5000 0.5000 0.5000 x1

Output
Raw total energy in eV per atom: -4.33
Energy of formation from the pure elements in eV per atom: -0.364
D(E_F) in states/eV per cell: 5.167